# CeY2ThCo2, optimized geometry, DFT PBE-GGA
data_CeY2ThCo2
_cell_length_a 7.032
_cell_length_b 12.119
_cell_length_c 6.956
_cell_angle_alpha 90.00
_cell_angle_beta 90.00
_cell_angle_gamma 90.00
_space_group_name_H-M_alt 'I b a m'
_space_group_IT_number 72
_space_group_name_Hall '-I 2 2c'
loop_
_atom_site_label
_atom_site_fract_x
_atom_site_fract_y
_atom_site_fract_z
Ce1 0.000 0.000 0.250
Y1 0.196 0.204 0.000
Th1 0.000 0.500 0.250
Co1 0.229 0.077 0.500
# - Total DFT energy (no corrections): -165.23 eV for the cell shown
# - Energy relative to the elements: -0.136 eV/atom
# - M_tot: 0.00 μB per formula unit
# - Calculated volume: 592.83 Å³/cell